# Ce2ScN2Cl2 (PBE-GGA, optimized geometry)
data_Ce2ScN2Cl2
_cell_length_a 4.247
_cell_length_b 4.247
_cell_length_c 14.897
_cell_angle_alpha 90.00
_cell_angle_beta 90.00
_cell_angle_gamma 90.00
_space_group_name_H-M_alt 'I 4/m m m'
_space_group_IT_number 139
_space_group_name_Hall '-I 4 2'
loop_
_atom_site_label
_atom_site_fract_x
_atom_site_fract_y
_atom_site_fract_z
Ce1 0.000 0.000 0.100
Sc1 0.000 0.000 0.500
N1 0.000 0.500 0.000
Cl1 0.000 0.000 0.317
# DFT total energy: -100.4 eV per cell
# Fermi-level density of states: 1.723 states/eV/atom

***

# Er7Tm2Sc (PBE-GGA, optimized geometry)
data_Er7Tm2Sc
_cell_length_a 8.651
_cell_length_b 17.035
_cell_length_c 4.995
_cell_angle_alpha 90.00
_cell_angle_beta 90.00
_cell_angle_gamma 90.00
_space_group_name_H-M_alt 'C m m m'
_space_group_IT_number 65
_space_group_name_Hall '-C 2 2'
loop_
_atom_site_label
_atom_site_fract_x
_atom_site_fract_y
_atom_site_fract_z
Er1 0.000 0.000 0.000
Er2 0.000 0.309 0.500
Er3 0.178 0.396 0.000
Tm1 0.000 0.201 0.000
Sc1 0.000 0.500 0.500
# DFT total energy: -80.2 eV per cell
# Fermi-level density of states: 1.140 states/eV/atom

***

# Sn3Br5F (PBE-GGA, optimized geometry)
data_Sn3Br5F
_cell_length_a 14.175
_cell_length_b 10.018
_cell_length_c 9.480
_cell_angle_alpha 90.00
_cell_angle_beta 111.29
_cell_angle_gamma 90.00
_space_group_name_H-M_alt 'C 1 2/m 1'
_space_group_IT_number 12
loop_
_space_group_symop_operation_xyz
'x,y,z'
'-x,-y,-z'
'-x,y,-z'
'x,-y,z'
'x+1/2,y+1/2,z'
'-x+1/2,-y+1/2,-z'
'-x+1/2,y+1/2,-z'
'x+1/2,-y+1/2,z'
loop_
_atom_site_label
_atom_site_fract_x
_atom_site_fract_y
_atom_site_fract_z
Sn1 0.000 0.000 0.000
Sn2 0.000 0.000 0.500
Sn3 0.158 0.500 0.150
Sn4 0.239 0.000 0.404
Br1 0.000 0.296 0.000
Br2 0.063 0.500 0.362
Br3 0.183 0.187 0.626
Br4 0.223 0.000 0.077
F1 0.051 0.000 0.283
# DFT total energy: -123.5 eV per cell
# Fermi-level density of states: 0.000 states/eV/atom

***

# CaPdSe (PBE-GGA, optimized geometry)
data_CaPdSe
_cell_length_a 5.910
_cell_length_b 5.930
_cell_length_c 7.303
_cell_angle_alpha 90.00
_cell_angle_beta 90.06
_cell_angle_gamma 90.00
_space_group_name_H-M_alt 'C 1 m 1'
_space_group_IT_number 8
loop_
_space_group_symop_operation_xyz
'x,y,z'
'x,-y,z'
'x+1/2,y+1/2,z'
'x+1/2,-y+1/2,z'
loop_
_atom_site_label
_atom_site_fract_x
_atom_site_fract_y
_atom_site_fract_z
Ca1 0.000 0.000 0.000
Ca2 0.000 0.500 0.380
Pd1 0.339 0.250 0.690
Se1 0.489 0.000 0.967
Se2 0.490 0.500 0.413
# Polymorph energy (0 for the lowest one): 41 meV/atom
# Fermi-level density of states: 0.000 states/eV/atom

***

# YEr6In (PBE-GGA, optimized geometry)
data_YEr6In
_cell_length_a 4.871
_cell_length_b 4.871
_cell_length_c 9.928
_cell_angle_alpha 90.00
_cell_angle_beta 90.00
_cell_angle_gamma 90.00
_space_group_name_H-M_alt 'P 4/m m m'
_space_group_IT_number 123
_space_group_name_Hall '-P 4 2'
loop_
_atom_site_label
_atom_site_fract_x
_atom_site_fract_y
_atom_site_fract_z
Y1 0.000 0.000 0.000
Er1 0.000 0.500 0.256
Er2 0.500 0.500 0.000
Er3 0.500 0.500 0.500
In1 0.000 0.000 0.500
# Polymorph energy (0 for the lowest one): 0 meV/atom
# Fermi-level density of states: 1.084 states/eV/atom

***

# LiBr3 (PBE-GGA, optimized geometry)
data_LiBr3
_cell_length_a 3.955
_cell_length_b 17.749
_cell_length_c 3.962
_cell_angle_alpha 90.00
_cell_angle_beta 90.00
_cell_angle_gamma 90.00
_space_group_name_H-M_alt 'I m m 2'
_space_group_IT_number 44
loop_
_space_group_symop_operation_xyz
'x,y,z'
'-x,-y,z'
'-x,y,z'
'x,-y,z'
'x+1/2,y+1/2,z+1/2'
'-x+1/2,-y+1/2,z+1/2'
'-x+1/2,y+1/2,z+1/2'
'x+1/2,-y+1/2,z+1/2'
loop_
_atom_site_label
_atom_site_fract_x
_atom_site_fract_y
_atom_site_fract_z
Li1 0.000 0.000 0.000
Br1 0.000 0.250 0.489
Br2 0.000 0.500 0.984
# Polymorph energy (0 for the lowest one): 163 meV/atom
# Fermi-level density of states: 0.144 states/eV/atom